1.
Tb4ErS4 after structural relaxation. Source: Alexandria via LeMat-Bulk, functional GGA-PBE.

Summary:
SG   No. 2
Raw formation energy   -1763 meV/atom
Crystal system   triclinic
Magnetization   0.0 μB/f.u.

Lattice parameters (Å, degrees): 5.5282 6.7258 6.7257 80.19 65.67 65.58
Fractional positions:
Tb 0.6019 0.5972 0.1992
Tb 0.3981 0.4028 0.8008
Tb 0.1989 0.1993 0.4031
Tb 0.8011 0.8007 0.5969
Er 0.0000 0.0000 0.0000
S 0.9021 0.3966 0.7990
S 0.0979 0.6034 0.2010
S 0.2989 0.7987 0.6037
S 0.7011 0.2013 0.3963

***

2.
BeAgO2 after structural relaxation. Source: Alexandria via LeMat-Bulk, functional GGA-PBE.

Summary:
SG   No. 166
Raw formation energy   -962 meV/atom
Crystal system   trigonal
Magnetization   0.0 μB/f.u.

Lattice parameters (Å, degrees): 6.0476 6.0476 6.0476 26.35 26.35 26.35
Fractional positions:
Be 0.5000 0.5000 0.5000
O 0.8853 0.8853 0.8853
O 0.1147 0.1147 0.1147
Ag 0.0000 0.0000 0.0000

***

3.
BaSr2TlS4 after structural relaxation. Source: Alexandria via LeMat-Bulk, functional GGA-PBE.

Summary:
SG   No. 74
Raw formation energy   -1571 meV/atom
Crystal system   orthorhombic
Magnetization   0.0 μB/f.u.

Lattice parameters (Å, degrees): 8.7141 8.7141 8.7000 119.95 119.95 89.97
Fractional positions:
Ba 0.0000 0.5000 0.0000
Ba 0.0000 0.5000 0.5000
Sr 0.5000 0.0000 0.0000
Sr 0.5000 0.0000 0.5000
Sr 0.0000 0.0000 0.5000
Sr 0.5000 0.5000 0.0000
Tl 0.5000 0.5000 0.5000
Tl 0.0000 0.0000 0.0000
S 0.2639 0.7577 0.0108
S 0.7423 0.2361 0.4892
S 0.2577 0.7639 0.5108
S 0.7361 0.2423 0.9892
S 0.7441 0.7559 0.0060
S 0.7441 0.7559 0.4940
S 0.2559 0.2441 0.5060
S 0.2559 0.2441 0.9940

***

4.
Pr2InH after structural relaxation. Source: Alexandria via LeMat-Bulk, functional GGA-PBE.

Summary:
SG   No. 152
Crystal system   trigonal
Magnetization   0.0 μB/f.u.

Lattice parameters (Å, degrees): 6.0281 6.0281 9.3343 90.00 90.00 120.00
Fractional positions:
Pr 0.8427 0.1940 0.9913
Pr 0.3513 0.1573 0.6580
Pr 0.8060 0.6487 0.3246
Pr 0.1940 0.8427 0.0087
Pr 0.1573 0.3513 0.3420
Pr 0.6487 0.8060 0.6754
In 0.5040 0.5040 0.0000
In 0.0000 0.4960 0.6667
In 0.4960 0.0000 0.3333
H 0.4998 0.4998 0.5000
H 0.0000 0.5002 0.1667
H 0.5002 0.0000 0.8333

***

5.
Ac3Os after structural relaxation. Source: Alexandria via LeMat-Bulk, functional GGA-PBE.

Summary:
SG   No. 25
Formation energy   0.33 eV per atom
Crystal system   orthorhombic
Magnetization   0.0 μB/f.u.

Lattice parameters (Å, degrees): 3.9843 3.7365 10.3320 90.00 90.00 90.00
Fractional positions:
Ac 0.0000 0.5000 0.4686
Ac 0.5000 0.5000 0.1176
Ac 0.5000 0.0000 0.7743
Os 0.0000 0.0000 0.9729

***

6.
NaNdGeS4 after structural relaxation. Source: Alexandria via LeMat-Bulk, functional GGA-PBE.

Summary:
SG   No. 11
Raw formation energy   -1167 meV/atom
Crystal system   monoclinic
Magnetization   0.0 μB/f.u.

Lattice parameters (Å, degrees): 6.6251 6.6864 8.0905 90.00 105.44 90.00
Fractional positions:
Na 0.7543 0.7500 0.9382
Na 0.2457 0.2500 0.0618
Nd 0.7739 0.7500 0.4428
Nd 0.2261 0.2500 0.5572
Ge 0.2364 0.7500 0.3078
Ge 0.7636 0.2500 0.6922
S 0.9901 0.5050 0.7360
S 0.0099 0.0050 0.2640
S 0.0099 0.4950 0.2640
S 0.9901 0.9950 0.7360
S 0.4424 0.7500 0.1369
S 0.5576 0.2500 0.8631
S 0.4167 0.7500 0.5834
S 0.5833 0.2500 0.4166

***

7.
NiH4Pb after structural relaxation. Source: Alexandria via LeMat-Bulk, functional GGA-PBE.

Summary:
SG   No. 15
Crystal system   monoclinic
Magnetization   0.0 μB/f.u.

Lattice parameters (Å, degrees): 4.5171 5.3233 5.8905 63.14 90.57 91.26
Fractional positions:
Ni 0.2500 0.9292 0.1416
Ni 0.7500 0.0708 0.8584
H 0.7893 0.4028 0.6813
H 0.0647 0.9098 0.9130
H 0.7107 0.9159 0.6813
H 0.4353 0.1772 0.9130
H 0.5647 0.8228 0.0870
H 0.2893 0.0841 0.3187
H 0.9353 0.0902 0.0870
H 0.2107 0.5972 0.3187
Pb 0.7500 0.3448 0.3104
Pb 0.2500 0.6552 0.6896

***

8.
Pm2HgO after structural relaxation. Source: Alexandria via LeMat-Bulk, functional GGA-PBE.

Summary:
SG   No. 123
Raw formation energy   -1123 meV/atom
Crystal system   tetragonal
Magnetization   0.0 μB/f.u.

Lattice parameters (Å, degrees): 3.1632 3.1632 8.0962 90.00 90.00 90.00
Fractional positions:
Hg 0.5000 0.5000 0.5000
O 0.5000 0.5000 0.0000
Pm 0.0000 0.0000 0.8037
Pm 0.0000 0.0000 0.1963

***

9.
Ti3Pb after structural relaxation. Source: Alexandria via LeMat-Bulk, functional GGA-PBE.

Summary:
SG   No. 166
Formation energy   -0.05 eV per atom
Crystal system   trigonal
Magnetization   0.0 μB/f.u.

Lattice parameters (Å, degrees): 5.9756 5.9756 7.9976 68.06 68.06 60.00
Fractional positions:
Ti 0.2378 0.7158 0.3306
Ti 0.7158 0.2378 0.3306
Ti 0.7158 0.7158 0.3306
Ti 0.0000 0.5000 0.0000
Ti 0.5000 0.5000 0.0000
Ti 0.5000 0.0000 0.0000
Ti 0.2842 0.7622 0.6694
Ti 0.7622 0.2842 0.6694
Ti 0.2842 0.2842 0.6694
Pb 0.7798 0.7798 0.6607
Pb 0.2202 0.2202 0.3393
Pb 0.0000 0.0000 0.0000

***

10.
EuZn4Ru after structural relaxation. Source: Alexandria via LeMat-Bulk, functional GGA-PBE.

Summary:
SG   No. 216
Formation energy   -0.08 eV per atom
Crystal system   cubic
Magnetization   6.0 μB/f.u.

Lattice parameters (Å, degrees): 5.2084 5.2084 5.2084 60.00 60.00 60.00
Each line ends with the local moment (μB).
Fractional positions:
Eu 0.0000 0.0000 0.0000  6.65
Ru 0.2500 0.2500 0.2500  -0.67
Zn 0.6234 0.6234 0.1297  -0.01
Zn 0.6234 0.1297 0.6234  -0.01
Zn 0.6234 0.6234 0.6234  -0.01
Zn 0.1297 0.6234 0.6234  -0.01

***

11.
SbPb2Se after structural relaxation. Source: Alexandria via LeMat-Bulk, functional GGA-PBE.

Summary:
SG   No. 160
Raw formation energy   -67 meV/atom
Crystal system   trigonal
Magnetization   0.0 μB/f.u.

Lattice parameters (Å, degrees): 8.7386 8.7386 8.7386 28.08 28.08 28.08
Fractional positions:
Pb 0.0135 0.0135 0.0135
Pb 0.2407 0.2407 0.2407
Sb 0.5049 0.5049 0.5049
Se 0.7409 0.7409 0.7409

***

12.
HfZrB2 after structural relaxation. Source: Alexandria via LeMat-Bulk, functional GGA-PBE.

Summary:
SG   No. 122
Formation energy   0.04 eV per atom
Crystal system   tetragonal
Magnetization   0.0 μB/f.u.

Lattice parameters (Å, degrees): 6.2888 6.2888 5.3911 54.32 54.32 90.00
Fractional positions:
B 0.6278 0.1250 0.2500
B 0.1222 0.6250 0.2500
B 0.3750 0.3722 0.7500
B 0.8750 0.8778 0.7500
Hf 0.0000 0.0000 0.0000
Hf 0.7500 0.2500 0.5000
Zr 0.5000 0.5000 0.0000
Zr 0.2500 0.7500 0.5000

***

Number 1: E_tot -6.162 eV per atom. Number 2: E_tot -5.085 eV per atom. Number 3: E_tot -4.591 eV per atom. Number 4: E_tot -4.301 eV per atom. Number 5: E_tot -5.563 eV per atom. Number 6: E_tot -5.055 eV per atom. Number 7: E_tot -3.678 eV per atom. Number 8: E_tot -4.813 eV per atom. Number 9: E_tot -6.902 eV per atom. Number 10: E_tot -4.185 eV per atom. Number 11: E_tot -3.823 eV per atom. Number 12: E_tot -7.924 eV per atom.